## Rb2NpIrO6 (GGA-PBE)

Data for a geometry-optimized Rb2NpIrO6 structure.

## Properties
Raw formation energy in kcal/mol of atoms: -43.2
VASP energy in eV/atom: -7.224
Calculated density in g cm⁻³: 6.361

Cell: 5.771 5.772 6.816 Å, 64.92 64.93 90.00°
Site moments in Bohr magnetons follow the coordinates.
Fractional coordinates of all 10 atoms:
O1 0.733 0.266 0.000  0.15
O2 0.828 0.828 0.344  0.01
O3 0.172 0.172 0.656  0.01
O4 0.733 0.733 0.000  0.15
O5 0.267 0.733 0.000  0.15
O6 0.267 0.267 0.000  0.15
Ir1 0.500 0.500 0.000  1.18
Np1 0.000 0.000 0.000  0.76
Rb1 0.750 0.250 0.500  0.00
Rb2 0.250 0.750 0.500  0.00